# MgCdI2, optimized geometry, DFT GGA-PBE
data_MgCdI2
_chemical_formula_sum 'Mg4 Cd4 I8'
_cell_length_a 8.639
_cell_length_b 8.639
_cell_length_c 10.027
_cell_angle_alpha 90.00
_cell_angle_beta 90.00
_cell_angle_gamma 90.00
_symmetry_space_group_name_H-M 'I -4 2 d'
_symmetry_Int_Tables_number 122
_symmetry_space_group_name_Hall 'I -4 2bw'
loop_
_atom_site_label
_atom_site_type_symbol
_atom_site_fract_x
_atom_site_fract_y
_atom_site_fract_z
Mg1 Mg 0.000 0.000 0.000
Cd1 Cd 0.000 0.000 0.500
I1 I 0.140 0.750 0.125
# energy: -1.94 eV per atom
# spin magnetization: 0.0 μB/cell

# NdYTm2, optimized geometry, DFT GGA-PBE
data_NdYTm2
_chemical_formula_sum 'Nd4 Y4 Tm8'
_cell_length_a 8.023
_cell_length_b 8.023
_cell_length_c 8.023
_cell_angle_alpha 90.00
_cell_angle_beta 90.00
_cell_angle_gamma 90.00
_symmetry_space_group_name_H-M 'F m -3 m'
_symmetry_Int_Tables_number 225
_symmetry_space_group_name_Hall '-F 4 2 3'
loop_
_atom_site_label
_atom_site_type_symbol
_atom_site_fract_x
_atom_site_fract_y
_atom_site_fract_z
Nd1 Nd 0.000 0.000 0.000
Y1 Y 0.000 0.000 0.500
Tm1 Tm 0.250 0.250 0.250
# ΔH_f (0 K): 0.111 eV/atom
# energy: -4.93 eV per atom
# spin magnetization: 0.0 μB/cell

no.,energy above the lowest structure with this stoichiometry (meV per atom)
1,0
2,103